Crystalline Hg4Pb at its relaxed geometry. Source: Alexandria via LeMat-Bulk, functional PBE.

Cell lengths 7.5069, 7.5069, 5.1795 Å; angles 90.00, 90.00, 90.00 degrees
Closest atoms and distances in Å follow each position.
Fractional positions:
1 Hg 0.0980 0.5980 0.2182  4 Hg 3.07-3.23, 2 Pb 3.20
2 Hg 0.0980 0.9020 0.7818  4 Hg 3.07-3.23, 2 Pb 3.20
3 Hg 0.4020 0.5980 0.7818  4 Hg 3.07-3.23, 2 Pb 3.20
4 Hg 0.4020 0.9020 0.2182  4 Hg 3.07-3.23, 2 Pb 3.20
5 Hg 0.5980 0.0980 0.7818  4 Hg 3.07-3.23, 2 Pb 3.20
6 Hg 0.5980 0.4020 0.2182  4 Hg 3.07-3.23, 2 Pb 3.20
7 Hg 0.9020 0.0980 0.2182  4 Hg 3.07-3.23, 2 Pb 3.20
8 Hg 0.9020 0.4020 0.7818  4 Hg 3.07-3.23, 2 Pb 3.20
9 Pb 0.2500 0.2500 0.5000  8 Hg 3.20
10 Pb 0.7500 0.7500 0.5000  8 Hg 3.20

Values from the calculation:
Total magnetic moment (μB/f.u.): 0.00
Energy relative to the lowest polymorph listed for this composition (eV/atom): 0.026